No. 1
KBaCo2: optimized geometry, PBE.

Lattice parameters (Å, degrees): 6.7616 6.7616 6.7616 101.29 101.29 127.49
With the nearest neighbours (Å) after each atom.
Element x y z (fractional)
K1 0.0000 0.0000 0.0000  2 Ba 2.99, 4 Co 3.12
K2 0.7500 0.2500 0.5000  2 Ba 2.99, 4 Co 3.12
Ba1 0.2500 0.7500 0.5000  2 K 2.99, 4 Co 3.13
Ba2 0.5000 0.5000 0.0000  2 K 2.99, 4 Co 3.13
Co1 0.1245 0.6250 0.9995  2 Co 2.99, 2 K 3.12, 2 Ba 3.13
Co2 0.3750 0.3745 0.4995  2 Co 2.99, 2 K 3.12, 2 Ba 3.13
Co3 0.6255 0.1250 0.0005  2 Co 2.99, 2 K 3.12, 2 Ba 3.13
Co4 0.8750 0.8755 0.5005  2 Co 2.99, 2 K 3.12, 2 Ba 3.13

Properties
SG: I-42d, No. 122
magnetic moment: 5.89 Bohr magnetons per cell
energy relative to the lowest polymorph listed for this composition: 76.8 kJ/mol of atoms
total energy: -3.103 eV per atom
E_form: 1.20 eV per atom


No. 2
PrAlGa2: optimized geometry, PBE.

Lattice parameters (Å, degrees): 5.8868 5.8868 5.8868 43.45 43.45 43.45
With the nearest neighbours (Å) after each atom.
Element x y z (fractional)
Pr1 0.0000 0.0000 0.0000  6 Ga 3.10
Al1 0.5000 0.5000 0.5000  6 Ga 2.66
Ga1 0.2201 0.2201 0.2201  3 Al 2.66
Ga2 0.7799 0.7799 0.7799  3 Al 2.66

Properties
SG: R-3m, No. 166
magnetic moment: 0.00 Bohr magnetons per cell
total energy: -4.104 eV per atom
E_form: -0.46 eV per atom


No. 3
MnMo4Rh: optimized geometry, PBE.

Lattice parameters (Å, degrees): 5.1636 5.1636 5.1636 60.00 60.00 60.00
With the nearest neighbours (Å) after each atom.
Element x y z (fractional)
Mn1 0.0000 0.0000 0.0000  12 Mo 3.03, 4 Rh 3.16
Mo1 0.3739 0.3739 0.3739  6 Mo 2.56-2.60
Mo2 0.3739 0.3739 0.8783  6 Mo 2.56-2.60
Mo3 0.3739 0.8783 0.3739  6 Mo 2.56-2.60
Mo4 0.8783 0.3739 0.3739  6 Mo 2.56-2.60
Rh1 0.7500 0.7500 0.7500  12 Mo 3.03, 4 Mn 3.16

Properties
SG: F-43m, No. 216
magnetic moment: 3.01 Bohr magnetons per cell
total energy: -9.613 eV per atom
E_form: 0.36 eV per atom


No. 4
Sm3Y3Er: optimized geometry, PBE.

Lattice parameters (Å, degrees): 14.7556 14.7556 14.7556 24.39 24.39 24.39
With the nearest neighbours (Å) after each atom.
Element x y z (fractional)
Sm1 0.1320 0.4627 0.8009  3 Y 3.54-3.55, 9 Sm 3.57-3.64
Sm2 0.1991 0.8680 0.5373  3 Y 3.54-3.55, 9 Sm 3.57-3.64
Sm3 0.4627 0.8009 0.1320  3 Y 3.54-3.55, 9 Sm 3.57-3.64
Sm4 0.5373 0.1991 0.8680  3 Y 3.54-3.55, 9 Sm 3.57-3.64
Sm5 0.8009 0.1320 0.4627  3 Y 3.54-3.55, 9 Sm 3.57-3.64
Sm6 0.8680 0.5373 0.1991  3 Y 3.54-3.55, 9 Sm 3.57-3.64
Y1 0.0649 0.7318 0.3985  2 Er 3.48, 3 Sm 3.54-3.55, 6 Y 3.60
Y2 0.2682 0.6015 0.9351  2 Er 3.48, 3 Sm 3.54-3.55, 6 Y 3.60
Y3 0.3985 0.0649 0.7318  2 Er 3.48, 3 Sm 3.54-3.55, 6 Y 3.60
Y4 0.6015 0.9351 0.2682  2 Er 3.48, 3 Sm 3.54-3.55, 6 Y 3.60
Y5 0.7318 0.3985 0.0649  2 Er 3.48, 3 Sm 3.54-3.55, 6 Y 3.60
Y6 0.9351 0.2682 0.6015  2 Er 3.48, 3 Sm 3.54-3.55, 6 Y 3.60
Er1 0.3333 0.3333 0.3333  6 Y 3.48, 3 Er 3.60
Er2 0.6667 0.6667 0.6667  6 Y 3.48, 3 Er 3.60

Properties
SG: R-3, No. 148
magnetic moment: 0.00 Bohr magnetons per cell
energy relative to the lowest polymorph listed for this composition: 0.0 kJ/mol of atoms
total energy: -5.284 eV per atom
E_form: 0.16 eV per atom


No. 5
CoAg2Mo: optimized geometry, PBE.

Lattice parameters (Å, degrees): 2.6452 4.6188 5.2146 90.00 102.86 90.00
With the nearest neighbours (Å) after each atom.
Element x y z (fractional)
Co1 0.0000 0.0000 0.0000  2 Co 2.65, 2 Mo 2.65, 4 Ag 2.72
Ag1 0.1736 0.5000 0.7588  5 Ag 2.65-2.86, 2 Co 2.72, 2 Mo 2.90
Ag2 0.8264 0.5000 0.2412  5 Ag 2.65-2.86, 2 Co 2.72, 2 Mo 2.90
Mo1 0.5000 0.0000 0.5000  2 Mo 2.65, 2 Co 2.65, 4 Ag 2.90

Properties
SG: P2/m, No. 10
magnetic moment: 1.35 Bohr magnetons per cell
energy relative to the lowest polymorph listed for this composition: 27.4 kJ/mol of atoms
total energy: -5.346 eV per atom
E_form: 0.56 eV per atom


No. 6
Sr2Re2Pd: optimized geometry, PBE.

Lattice parameters (Å, degrees): 6.8595 6.8595 5.0982 90.00 90.00 90.00
With the nearest neighbours (Å) after each atom.
Element x y z (fractional)
Sr1 0.1803 0.3197 0.0000  6 Re 3.22-3.29, 5 Sr 3.50-3.56, 4 Pd 3.58
Sr2 0.3197 0.8197 0.0000  6 Re 3.22-3.29, 5 Sr 3.50-3.56, 4 Pd 3.58
Sr3 0.6803 0.1803 0.0000  6 Re 3.22-3.29, 5 Sr 3.50-3.56, 4 Pd 3.58
Sr4 0.8197 0.6803 0.0000  6 Re 3.22-3.29, 5 Sr 3.50-3.56, 4 Pd 3.58
Re1 0.1170 0.6170 0.5000  1 Re 2.27
Re2 0.3830 0.1170 0.5000  1 Re 2.27
Re3 0.6170 0.8830 0.5000  1 Re 2.27
Re4 0.8830 0.3830 0.5000  1 Re 2.27
Pd1 0.0000 0.0000 0.5000  4 Re 2.75
Pd2 0.5000 0.5000 0.5000  4 Re 2.75

Properties
SG: P4/mbm, No. 127
magnetic moment: 0.00 Bohr magnetons per cell
energy relative to the lowest polymorph listed for this composition: 0.0 kJ/mol of atoms
total energy: -6.123 eV per atom
E_form: 0.57 eV per atom


No. 7
K4YTe: optimized geometry, PBE.

Lattice parameters (Å, degrees): 7.3245 7.3245 7.3245 60.00 60.00 60.00
With the nearest neighbours (Å) after each atom.
Element x y z (fractional)
K1 0.1232 0.1232 0.1232  6 K 3.61-3.71
K2 0.1232 0.1232 0.6303  6 K 3.61-3.71
K3 0.1232 0.6303 0.1232  6 K 3.61-3.71
K4 0.6303 0.1232 0.1232  6 K 3.61-3.71
Y1 0.5000 0.5000 0.5000  12 K 4.30, 4 Te 4.49
Te1 0.7500 0.7500 0.7500  12 K 4.29, 4 Y 4.49

Properties
SG: F-43m, No. 216
energy relative to the elements, uncorrected: 0.30 eV/atom
magnetic moment: 1.12 Bohr magnetons per cell
total energy: -2.031 eV per atom


No. 8
TlPtS2N: optimized geometry, PBE.

Lattice parameters (Å, degrees): 5.1047 5.1047 3.7087 90.00 90.00 90.00
With the nearest neighbours (Å) after each atom.
Element x y z (fractional)
Tl1 0.0000 0.0000 0.0000  8 S 3.15
Pt1 0.5000 0.5000 0.5000  2 N 1.85
S1 0.0000 0.5000 0.5000  2 Pt 2.55
S2 0.5000 0.0000 0.5000  2 Pt 2.55
N1 0.5000 0.5000 0.0000  2 Pt 1.85

Properties
SG: P4/mmm, No. 123
energy relative to the elements, uncorrected: 0.48 eV/atom
magnetic moment: 0.00 Bohr magnetons per cell
energy relative to the lowest polymorph listed for this composition: 0.0 kJ/mol of atoms
total energy: -4.516 eV per atom